# Na4Sn6As

Crystalline Na4Sn6As at its relaxed geometry (PBE, Alexandria via LeMat-Bulk).

```
Na4Sn6As
1.0
9.264 0.000 0.000
0.000 8.116 -4.685
0.000 -0.002 9.369
Sn Na As
12 8 2
Direct
0.342 0.526 0.474
0.342 0.948 0.474
0.600 0.779 0.221
0.842 0.474 0.526
0.600 0.779 0.558
0.100 0.558 0.779
0.842 0.474 0.949
0.342 0.526 0.051
0.100 0.221 0.442
0.100 0.221 0.779
0.600 0.442 0.221
0.842 0.052 0.526
0.049 0.310 0.155
0.049 0.845 0.155
0.550 0.155 0.310
0.549 0.155 0.845
0.050 0.845 0.690
0.375 0.333 0.666
0.549 0.690 0.845
0.875 0.667 0.334
0.676 0.333 0.667
0.176 0.667 0.333
```

As for the electronic total energy: -3.156 eV/atom. For the size of the total moment, the calculation gives 0.00 Bohr magnetons per cell. For the calculated formation energy, the calculation gives -0.070 eV per atom. The space group is P6_3mc (186).

***

# InGa3Cu3

Crystalline InGa3Cu3 at its relaxed geometry (PBE, Alexandria via LeMat-Bulk).

```
InGa3Cu3
1.0
6.789 0.000 0.000
0.000 6.789 0.000
0.000 0.000 6.789
In Ga Cu
2 6 6
Direct
0.500 0.500 0.500
0.000 0.000 0.000
0.750 0.500 0.000
0.250 0.500 0.000
0.000 0.750 0.500
0.500 0.000 0.250
0.500 0.000 0.750
0.000 0.250 0.500
0.500 0.250 0.000
0.500 0.750 0.000
0.250 0.000 0.500
0.750 0.000 0.500
0.000 0.500 0.250
0.000 0.500 0.750
```

As for the electronic total energy: -3.071 eV/atom. For the size of the total moment, the calculation gives 0.00 Bohr magnetons per cell. For the calculated formation energy, the calculation gives 0.372 eV per atom. The space group is Pm-3n (223).

***

# Rb2BaTeCl6

Crystalline Rb2BaTeCl6 at its relaxed geometry (PBE, Alexandria via LeMat-Bulk).

```
Rb2BaTeCl6
1.0
7.903 0.000 0.000
0.000 7.903 0.000
3.951 3.951 6.938
Cl Rb Te Ba
6 2 1 1
Direct
0.732 0.732 0.000
0.268 0.268 0.000
0.268 0.732 0.000
0.784 0.784 0.432
0.216 0.216 0.568
0.732 0.268 0.000
0.750 0.250 0.500
0.250 0.750 0.500
0.500 0.500 0.000
0.000 0.000 0.000
```

As for the electronic total energy: -3.336 eV/atom. The uncorrected formation energy is -1.5279 eV/atom. For the size of the total moment, the calculation gives 0.00 Bohr magnetons per cell. The space group is I4/mmm (139).

***

# Mg2TaTc

Crystalline Mg2TaTc at its relaxed geometry (PBE, Alexandria via LeMat-Bulk).

```
Mg2TaTc
1.0
-7.271 6.594 1.874
-7.525 5.013 4.256
-5.613 7.151 4.149
Ta Mg Tc
1 2 1
Direct
0.250 0.250 0.250
0.005 0.005 0.005
0.495 0.495 0.495
0.750 0.750 0.750
```

As for the electronic total energy: -6.037 eV/atom. The calculation puts the energy above the most stable polymorph in this dataset at 1.25 eV/f.u. For the size of the total moment, the calculation gives 0.00 Bohr magnetons per cell. For the calculated formation energy, the calculation gives 0.315 eV per atom. The space group is R-3m (166).

***

# Pr5DyHo5

Crystalline Pr5DyHo5 at its relaxed geometry (PBE, Alexandria via LeMat-Bulk).

```
Pr5DyHo5
1.0
6.021 0.000 0.000
-3.010 9.504 0.382
0.000 -2.871 6.464
Ho Pr Dy
5 5 1
Direct
0.331 0.662 0.830
0.622 0.243 0.623
0.378 0.757 0.377
0.669 0.338 0.170
0.000 0.000 0.500
0.825 0.649 0.580
0.176 0.351 0.932
0.500 0.000 0.000
0.824 0.649 0.068
0.175 0.351 0.420
0.000 0.000 0.000
```

As for the electronic total energy: -4.414 eV/atom. For the size of the total moment, the calculation gives 0.39 Bohr magnetons per cell. For the calculated formation energy, the calculation gives 0.258 eV per atom. The space group is C2/m (12).

***

# LaScNb2Hg

Crystalline LaScNb2Hg at its relaxed geometry (PBE, Alexandria via LeMat-Bulk).

```
LaScNb2Hg
1.0
-2.352 1.608 -4.011
3.402 -2.293 -2.915
-2.759 -4.074 -0.015
La Hg Nb Sc
1 1 2 1
Direct
0.000 0.000 0.000
0.500 0.500 0.500
0.500 0.000 0.000
0.000 0.000 0.500
0.000 0.500 0.000
```

As for the electronic total energy: -4.961 eV/atom. For the size of the total moment, the calculation gives 0.00 Bohr magnetons per cell. For the calculated formation energy, the calculation gives 1.379 eV per atom. The space group is P4/mmm (123).

***

# K4SF2

Crystalline K4SF2 at its relaxed geometry (PBE, Alexandria via LeMat-Bulk).

```
K4SF2
1.0
4.230 0.000 0.000
-2.115 6.331 0.000
0.000 0.000 13.293
K F S
8 4 2
Direct
0.224 0.449 0.887
0.224 0.449 0.613
0.060 0.120 0.250
0.776 0.551 0.387
0.500 0.000 0.000
0.776 0.551 0.113
0.940 0.880 0.750
0.500 0.000 0.500
0.131 0.263 0.439
0.869 0.737 0.561
0.869 0.737 0.939
0.131 0.263 0.061
0.612 0.225 0.750
0.388 0.775 0.250
```

As for the electronic total energy: -3.702 eV/atom. The calculation puts the energy above the most stable polymorph in this dataset at 0.00 eV/f.u. The uncorrected formation energy is -1.9510 eV/atom. For the size of the total moment, the calculation gives 0.00 Bohr magnetons per cell. The space group is Cmcm (63).

***

# Pr6SiS12

Crystalline Pr6SiS12 at its relaxed geometry (PBE, Alexandria via LeMat-Bulk).

```
Pr6SiS12
1.0
7.959 -0.009 -0.010
-1.215 7.865 -0.010
-1.215 -1.416 7.737
S Pr Si
12 6 1
Direct
0.581 0.179 0.445
0.942 0.023 0.705
0.705 0.942 0.023
0.419 0.821 0.555
0.821 0.555 0.419
0.977 0.295 0.058
0.179 0.445 0.581
0.058 0.977 0.295
0.023 0.705 0.942
0.555 0.419 0.821
0.295 0.058 0.977
0.445 0.581 0.179
0.371 0.711 0.866
0.711 0.866 0.371
0.866 0.371 0.711
0.134 0.629 0.289
0.289 0.134 0.629
0.629 0.289 0.134
0.000 0.000 0.000
```

As for the electronic total energy: -5.975 eV/atom. The uncorrected formation energy is -1.5736 eV/atom. For the size of the total moment, the calculation gives 0.65 Bohr magnetons per cell. The space group is R-3 (148).

***

What did the seventh record say?
# K4SF2

Crystalline K4SF2 at its relaxed geometry (PBE, Alexandria via LeMat-Bulk).

```
K4SF2
1.0
4.230 0.000 0.000
-2.115 6.331 0.000
0.000 0.000 13.293
K F S
8 4 2
Direct
0.224 0.449 0.887
0.224 0.449 0.613
0.060 0.120 0.250
0.776 0.551 0.387
0.500 0.000 0.000
0.776 0.551 0.113
0.940 0.880 0.750
0.500 0.000 0.500
0.131 0.263 0.439
0.869 0.737 0.561
0.869 0.737 0.939
0.131 0.263 0.061
0.612 0.225 0.750
0.388 0.775 0.250
```

As for the electronic total energy: -3.702 eV/atom. The calculation puts the energy above the most stable polymorph in this dataset at 0.00 eV/f.u. The uncorrected formation energy is -1.9510 eV/atom. For the size of the total moment, the calculation gives 0.00 Bohr magnetons per cell. The space group is Cmcm (63).

***

Question: Which value of electronic total energy does entry 8 give?
Answer: -5.975 eV/atom

***

Question: What is the size of the total moment in the fifth record?
Answer: 0.39 Bohr magnetons per cell

***

Question: Among the records above, which one has the lowest electronic total energy?
Answer: Mg2TaTc